Below is an optimized crystal structure of Sr2MnMoO6, with properties calculated at the GGA+U level.

Cell lengths 8.0913, 8.0913, 8.1635 Å; angles 90.00, 90.00, 90.00 degrees
Closest atoms and distances in Å follow each position.
Sites, in units of the cell vectors:
1 Sr 0.2500 0.2500 0.2500  8 O 2.61-2.79
2 Sr 0.2500 0.2500 0.7500  4 O 2.50
3 Sr 0.2500 0.7500 0.2353  8 O 2.59-2.90
4 Sr 0.2500 0.7500 0.7353  8 O 2.59-2.90
5 Sr 0.7500 0.2500 0.2647  8 O 2.59-2.90
6 Sr 0.7500 0.2500 0.7647  8 O 2.59-2.90
7 Sr 0.7500 0.7500 0.2500  4 O 2.50
8 Sr 0.7500 0.7500 0.7500  8 O 2.61-2.79
9 Mn 0.0000 0.0000 0.0000  6 O 2.16-2.17
10 Mn 0.0000 0.5000 0.5000  6 O 2.16-2.17
11 Mn 0.5000 0.0000 0.5000  6 O 2.16-2.17
12 Mn 0.5000 0.5000 0.0000  6 O 2.16-2.17
13 Mo 0.0000 0.0000 0.5000  6 O 1.95
14 Mo 0.0000 0.5000 0.0000  6 O 1.95
15 Mo 0.5000 0.0000 0.0000  6 O 1.95
16 Mo 0.5000 0.5000 0.5000  6 O 1.95
17 O 0.0204 0.0241 0.2631  1 Mo 1.95, 1 Mn 2.16
18 O 0.0241 0.4796 0.2369  1 Mo 1.95, 1 Mn 2.16
19 O 0.0429 0.2638 0.9768  1 Mo 1.95, 1 Mn 2.17
20 O 0.0462 0.7640 0.4799  1 Mo 1.95, 1 Mn 2.17
21 O 0.2362 0.0429 0.5232  1 Mo 1.95, 1 Mn 2.17
22 O 0.2360 0.5462 0.9799  1 Mo 1.95, 1 Mn 2.17
23 O 0.2638 0.4571 0.5232  1 Mo 1.95, 1 Mn 2.17
24 O 0.2640 0.9538 0.9799  1 Mo 1.95, 1 Mn 2.17
25 O 0.4538 0.7360 0.4799  1 Mo 1.95, 1 Mn 2.17
26 O 0.4571 0.2362 0.9768  1 Mo 1.95, 1 Mn 2.17
27 O 0.4759 0.0204 0.2369  1 Mo 1.95, 1 Mn 2.16
28 O 0.4796 0.4759 0.2631  1 Mo 1.95, 1 Mn 2.16
29 O 0.5204 0.5241 0.7369  1 Mo 1.95, 1 Mn 2.16
30 O 0.5241 0.9796 0.7631  1 Mo 1.95, 1 Mn 2.16
31 O 0.5429 0.7638 0.0232  1 Mo 1.95, 1 Mn 2.17
32 O 0.5462 0.2640 0.5201  1 Mo 1.95, 1 Mn 2.17
33 O 0.7360 0.0462 0.0201  1 Mo 1.95, 1 Mn 2.17
34 O 0.7362 0.5429 0.4768  1 Mo 1.95, 1 Mn 2.17
35 O 0.7640 0.4538 0.0201  1 Mo 1.95, 1 Mn 2.17
36 O 0.7638 0.9571 0.4768  1 Mo 1.95, 1 Mn 2.17
37 O 0.9538 0.2360 0.5201  1 Mo 1.95, 1 Mn 2.17
38 O 0.9571 0.7362 0.0232  1 Mo 1.95, 1 Mn 2.17
39 O 0.9759 0.5204 0.7631  1 Mo 1.95, 1 Mn 2.16
40 O 0.9796 0.9759 0.7369  1 Mo 1.95, 1 Mn 2.16

As for the total energy: -282.02 eV for the cell shown. The value obtained for the total moment is 20.00 μB/cell.